<i>
Entry from the Alexandria database: a crystal of Li2CdAu relaxed with PBEsol (SCAN).

```
data_Li2CdAu
_chemical_formula_sum 'Li2 Cd1 Au1'
_space_group_name_H-M_alt 'P 1'
_space_group_IT_number 1
_space_group_name_Hall 'P 1'
_cell_length_a 2.8622
_cell_length_b 4.0711
_cell_length_c 5.6828
_cell_angle_alpha 90.00
_cell_angle_beta 90.00
_cell_angle_gamma 90.00
loop_
_atom_site_label
_atom_site_type_symbol
_atom_site_fract_x
_atom_site_fract_y
_atom_site_fract_z
Cd1 Cd 0.5000 0.5000 0.7549
Au1 Au 0.0000 0.0000 0.4754
Li1 Li 0.0000 0.0000 0.0008
Li2 Li 0.5000 0.5000 0.2688
```

Properties
Symmetry = Pmm2 (25)
Total moment = 0.0 Bohr magnetons per cell

=====

<ii>
Entry from the Alexandria database: a crystal of Li2CdAu relaxed with PBEsol (SCAN).

```
data_Li2CdAu
_chemical_formula_sum 'Li2 Cd1 Au1'
_space_group_name_H-M_alt 'P 1'
_space_group_IT_number 1
_space_group_name_Hall 'P 1'
_cell_length_a 4.0373
_cell_length_b 4.0376
_cell_length_c 4.8877
_cell_angle_alpha 114.35
_cell_angle_beta 114.34
_cell_angle_gamma 90.01
loop_
_atom_site_label
_atom_site_type_symbol
_atom_site_fract_x
_atom_site_fract_y
_atom_site_fract_z
Li1 Li 0.0001 0.5000 0.0000
Li2 Li 0.7502 0.7500 0.5002
Au1 Au 0.5003 0.9996 0.9998
Cd1 Cd 0.2495 0.2505 0.4999
```

Properties
Symmetry = I-4m2 (119)
Total moment = 0.0 Bohr magnetons per cell

=====

Short version: <ii>, <i>, most stable first.

=====

<i>
Entry from the Alexandria database: a crystal of Mg2CdAu relaxed with PBEsol (SCAN).

```
data_Mg2CdAu
_chemical_formula_sum 'Mg2 Cd1 Au1'
_space_group_name_H-M_alt 'P 1'
_space_group_IT_number 1
_space_group_name_Hall 'P 1'
_cell_length_a 3.3483
_cell_length_b 3.2443
_cell_length_c 6.9622
_cell_angle_alpha 90.00
_cell_angle_beta 90.00
_cell_angle_gamma 90.00
loop_
_atom_site_label
_atom_site_type_symbol
_atom_site_fract_x
_atom_site_fract_y
_atom_site_fract_z
Mg1 Mg 0.0000 0.0000 0.7748
Mg2 Mg 0.0000 0.0000 0.2252
Au1 Au 0.5000 0.5000 0.0000
Cd1 Cd 0.5000 0.5000 0.5000
```

Properties
Symmetry = Pmmm (47)
Total moment = 0.0 Bohr magnetons per cell

=====

<ii>
Entry from the Alexandria database: a crystal of Mg2CdAu relaxed with PBEsol (SCAN).

```
data_Mg2CdAu
_chemical_formula_sum 'Mg2 Cd1 Au1'
_space_group_name_H-M_alt 'P 1'
_space_group_IT_number 1
_space_group_name_Hall 'P 1'
_cell_length_a 3.5662
_cell_length_b 3.5662
_cell_length_c 6.0123
_cell_angle_alpha 90.00
_cell_angle_beta 90.00
_cell_angle_gamma 90.00
loop_
_atom_site_label
_atom_site_type_symbol
_atom_site_fract_x
_atom_site_fract_y
_atom_site_fract_z
Mg1 Mg 0.0000 0.0000 0.9913
Mg2 Mg 0.5000 0.5000 0.2793
Au1 Au 0.0000 0.0000 0.4791
Cd1 Cd 0.5000 0.5000 0.7503
```

Properties
Symmetry = P4mm (99)
Total moment = 0.0 Bohr magnetons per cell

=====

Short version: <i>, <ii>, most stable first.

=====

<i>
Entry from the Alexandria database: a crystal of Mg2CdAu relaxed with PBEsol (SCAN).

```
data_Mg2CdAu
_chemical_formula_sum 'Mg2 Cd1 Au1'
_space_group_name_H-M_alt 'P 1'
_space_group_IT_number 1
_space_group_name_Hall 'P 1'
_cell_length_a 4.7118
_cell_length_b 4.7104
_cell_length_c 4.7109
_cell_angle_alpha 60.11
_cell_angle_beta 89.96
_cell_angle_gamma 119.89
loop_
_atom_site_label
_atom_site_type_symbol
_atom_site_fract_x
_atom_site_fract_y
_atom_site_fract_z
Mg1 Mg 0.7498 0.5000 0.7497
Mg2 Mg 0.2502 0.5000 0.2503
Au1 Au 0.5000 0.0000 0.5000
Cd1 Cd 0.0000 0.0000 0.0000
```

Properties
Symmetry = C2/m (12)
Total moment = 0.0 Bohr magnetons per cell

=====

<ii>
Entry from the Alexandria database: a crystal of Mg2CdAu relaxed with PBEsol (SCAN).

```
data_Mg2CdAu
_chemical_formula_sum 'Mg2 Cd1 Au1'
_space_group_name_H-M_alt 'P 1'
_space_group_IT_number 1
_space_group_name_Hall 'P 1'
_cell_length_a 3.4792
_cell_length_b 4.6184
_cell_length_c 4.6184
_cell_angle_alpha 90.03
_cell_angle_beta 90.00
_cell_angle_gamma 90.00
loop_
_atom_site_label
_atom_site_type_symbol
_atom_site_fract_x
_atom_site_fract_y
_atom_site_fract_z
Mg1 Mg 0.0000 0.5000 0.0000
Mg2 Mg 0.0000 0.0000 0.5000
Au1 Au 0.5000 0.0000 0.0000
Cd1 Cd 0.5000 0.5000 0.5000
```

Properties
Symmetry = P4/mmm (123)
Total moment = 0.0 Bohr magnetons per cell

=====

<iii>
Entry from the Alexandria database: a crystal of Mg2CdAu relaxed with PBEsol (SCAN).

```
data_Mg2CdAu
_chemical_formula_sum 'Mg2 Cd1 Au1'
_space_group_name_H-M_alt 'P 1'
_space_group_IT_number 1
_space_group_name_Hall 'P 1'
_cell_length_a 3.4713
_cell_length_b 4.6606
_cell_length_c 5.3254
_cell_angle_alpha 109.80
_cell_angle_beta 109.02
_cell_angle_gamma 90.00
loop_
_atom_site_label
_atom_site_type_symbol
_atom_site_fract_x
_atom_site_fract_y
_atom_site_fract_z
Mg1 Mg 0.0048 0.0214 0.0096
Mg2 Mg 0.2316 0.7078 0.4632
Au1 Au 0.5008 0.5313 0.0016
Cd1 Cd 0.7628 0.2395 0.5256
```

Properties
Symmetry = Cm (8)
Total moment = 0.0 Bohr magnetons per cell

=====

Short version: <i>, <ii>, <iii>, most stable first.

=====

<i>
Entry from the Alexandria database: a crystal of NaCd2Au2 relaxed with PBEsol (SCAN).

```
data_NaCd2Au2
_chemical_formula_sum 'Na1 Cd2 Au2'
_space_group_name_H-M_alt 'P 1'
_space_group_IT_number 1
_space_group_name_Hall 'P 1'
_cell_length_a 4.1875
_cell_length_b 4.1875
_cell_length_c 6.9970
_cell_angle_alpha 107.41
_cell_angle_beta 107.41
_cell_angle_gamma 90.00
loop_
_atom_site_label
_atom_site_type_symbol
_atom_site_fract_x
_atom_site_fract_y
_atom_site_fract_z
Na1 Na 0.0000 0.0000 0.0000
Au1 Au 0.3966 0.3966 0.7931
Au2 Au 0.6034 0.6034 0.2069
Cd1 Cd 0.2500 0.7500 0.5000
Cd2 Cd 0.7500 0.2500 0.5000
```

Properties
Symmetry = I4/mmm (139)
Total moment = 0.0 Bohr magnetons per cell

=====

<ii>
Entry from the Alexandria database: a crystal of NaCd2Au2 relaxed with PBEsol (SCAN).

```
data_NaCd2Au2
_chemical_formula_sum 'Na2 Cd4 Au4'
_space_group_name_H-M_alt 'P 1'
_space_group_IT_number 1
_space_group_name_Hall 'P 1'
_cell_length_a 3.0424
_cell_length_b 8.1121
_cell_length_c 8.1121
_cell_angle_alpha 90.00
_cell_angle_beta 90.00
_cell_angle_gamma 90.00
loop_
_atom_site_label
_atom_site_type_symbol
_atom_site_fract_x
_atom_site_fract_y
_atom_site_fract_z
Na1 Na 0.0000 0.0000 0.0000
Na2 Na 0.0000 0.5000 0.5000
Au1 Au 0.0000 0.3664 0.8664
Au2 Au 0.0000 0.8664 0.6336
Au3 Au 0.0000 0.6336 0.1336
Au4 Au 0.0000 0.1336 0.3664
Cd1 Cd 0.5000 0.1636 0.6636
Cd2 Cd 0.5000 0.6636 0.8364
Cd3 Cd 0.5000 0.8364 0.3364
Cd4 Cd 0.5000 0.3364 0.1636
```

Properties
Symmetry = P4/mbm (127)
Total moment = 0.0 Bohr magnetons per cell

=====

Short version: <ii>, <i>, most stable first.

=====

<i>
Entry from the Alexandria database: a crystal of Cd2OsAu relaxed with PBEsol (SCAN).

```
data_Cd2OsAu
_chemical_formula_sum 'Cd2 Os1 Au1'
_space_group_name_H-M_alt 'P 1'
_space_group_IT_number 1
_space_group_name_Hall 'P 1'
_cell_length_a 2.8834
_cell_length_b 2.8834
_cell_length_c 9.5803
_cell_angle_alpha 81.34
_cell_angle_beta 81.34
_cell_angle_gamma 60.00
loop_
_atom_site_label
_atom_site_type_symbol
_atom_site_fract_x
_atom_site_fract_y
_atom_site_fract_z
Au1 Au 0.0000 0.0000 0.0000
Cd1 Cd 0.2480 0.2480 0.2561
Cd2 Cd 0.7520 0.7520 0.7439
Os1 Os 0.5000 0.5000 0.5000
```

Properties
Symmetry = R-3m (166)
Total moment = 0.1 Bohr magnetons per cell

=====

<ii>
Entry from the Alexandria database: a crystal of Cd2OsAu relaxed with PBEsol (SCAN).

```
data_Cd2OsAu
_chemical_formula_sum 'Cd2 Os1 Au1'
_space_group_name_H-M_alt 'P 1'
_space_group_IT_number 1
_space_group_name_Hall 'P 1'
_cell_length_a 2.8400
_cell_length_b 2.8400
_cell_length_c 8.4485
_cell_angle_alpha 90.00
_cell_angle_beta 90.00
_cell_angle_gamma 90.00
loop_
_atom_site_label
_atom_site_type_symbol
_atom_site_fract_x
_atom_site_fract_y
_atom_site_fract_z
Au1 Au 0.5000 0.5000 0.5000
Cd1 Cd 0.0000 0.0000 0.7590
Cd2 Cd 0.0000 0.0000 0.2410
Os1 Os 0.5000 0.5000 0.0000
```

Properties
Symmetry = P4/mmm (123)
Total moment = 0.0 Bohr magnetons per cell

=====

<iii>
Entry from the Alexandria database: a crystal of Cd2OsAu relaxed with PBEsol (SCAN).

```
data_Cd2OsAu
_chemical_formula_sum 'Cd2 Os1 Au1'
_space_group_name_H-M_alt 'P 1'
_space_group_IT_number 1
_space_group_name_Hall 'P 1'
_cell_length_a 2.7658
_cell_length_b 4.2659
_cell_length_c 5.7885
_cell_angle_alpha 90.00
_cell_angle_beta 90.00
_cell_angle_gamma 90.00
loop_
_atom_site_label
_atom_site_type_symbol
_atom_site_fract_x
_atom_site_fract_y
_atom_site_fract_z
Au1 Au 0.5000 0.5000 0.7489
Cd1 Cd 0.0000 0.0000 0.9902
Cd2 Cd 0.5000 0.5000 0.2675
Os1 Os 0.0000 0.0000 0.4934
```

Properties
Symmetry = Pmm2 (25)
Total moment = 0.0 Bohr magnetons per cell

=====

Short version: <i>, <ii>, <iii>, most stable first.

=====

<i>
Entry from the Alexandria database: a crystal of CdPAu2 relaxed with PBEsol (SCAN).

```
data_CdPAu2
_chemical_formula_sum 'Cd1 P1 Au2'
_space_group_name_H-M_alt 'P 1'
_space_group_IT_number 1
_space_group_name_Hall 'P 1'
_cell_length_a 4.6240
_cell_length_b 4.6240
_cell_length_c 4.6240
_cell_angle_alpha 60.00
_cell_angle_beta 60.00
_cell_angle_gamma 60.00
loop_
_atom_site_label
_atom_site_type_symbol
_atom_site_fract_x
_atom_site_fract_y
_atom_site_fract_z
Au1 Au 0.2500 0.2500 0.2500
Au2 Au 0.7500 0.7500 0.7500
Cd1 Cd 0.0000 0.0000 0.0000
P1 P 0.5000 0.5000 0.5000
```

Properties
Symmetry = Fm-3m (225)
Total moment = 0.0 Bohr magnetons per cell

=====

<ii>
Entry from the Alexandria database: a crystal of CdPAu2 relaxed with PBEsol (SCAN).

```
data_CdPAu2
_chemical_formula_sum 'Cd1 P1 Au2'
_space_group_name_H-M_alt 'P 1'
_space_group_IT_number 1
_space_group_name_Hall 'P 1'
_cell_length_a 2.8670
_cell_length_b 4.2014
_cell_length_c 5.8347
_cell_angle_alpha 90.00
_cell_angle_beta 90.00
_cell_angle_gamma 90.00
loop_
_atom_site_label
_atom_site_type_symbol
_atom_site_fract_x
_atom_site_fract_y
_atom_site_fract_z
Au1 Au 0.0000 0.0000 0.7512
Au2 Au 0.0000 0.0000 0.2488
Cd1 Cd 0.5000 0.5000 0.0000
P1 P 0.0000 0.5000 0.5000
```

Properties
Symmetry = Pmmm (47)
Total moment = 0.0 Bohr magnetons per cell

=====

<iii>
Entry from the Alexandria database: a crystal of CdPAu2 relaxed with PBEsol (SCAN).

```
data_CdPAu2
_chemical_formula_sum 'Cd1 P1 Au2'
_space_group_name_H-M_alt 'P 1'
_space_group_IT_number 1
_space_group_name_Hall 'P 1'
_cell_length_a 3.7420
_cell_length_b 4.3330
_cell_length_c 5.1414
_cell_angle_alpha 114.92
_cell_angle_beta 111.34
_cell_angle_gamma 90.00
loop_
_atom_site_label
_atom_site_type_symbol
_atom_site_fract_x
_atom_site_fract_y
_atom_site_fract_z
Au1 Au 0.9835 0.9835 0.9670
Au2 Au 0.7398 0.2398 0.4796
Cd1 Cd 0.5076 0.5076 0.0153
P1 P 0.2691 0.7691 0.5382
```

Properties
Symmetry = Imm2 (44)
Total moment = 0.0 Bohr magnetons per cell

=====

Short version: <ii>, <iii>, <i>, most stable first.